{
  "formula": "Bi2BrClO2",
  "functional": "PBEsol",
  "state": "optimized geometry",
  "spacegroup": "P4mm, No. 99",
  "formation_energy_uncorrected_ev_per_atom": -1.2370,
  "volume_a3_per_fu": 117.45,
  "cell": [[3.891, 0.000, 0.000], [0.000, 3.891, 0.000], [0.000, 0.000, 7.756]],
  "species": ["Bi", "Bi", "Br", "Cl", "O", "O"],
  "fractional_positions": [[0.000, 0.000, 0.000], [0.500, 0.500, 0.325], [0.500, 0.500, 0.802], [0.000, 0.000, 0.493], [0.000, 0.500, 0.162], [0.500, 0.000, 0.162]]
}